Entry 1:
# PrSiNi2H | Alexandria via LeMat-Bulk | GGA-PBE | relaxed
data_PrSiNi2H
_chemical_formula_sum 'Pr4 Si4 Ni8 H4'
_symmetry_space_group_name_H-M 'C m c m'
_symmetry_Int_Tables_number 63
_symmetry_space_group_name_Hall '-C 2c 2'
_cell_length_a 3.808
_cell_length_b 10.603
_cell_length_c 6.756
_cell_angle_alpha 90.00
_cell_angle_beta 90.00
_cell_angle_gamma 90.00
loop_
_atom_site_label
_atom_site_type_symbol
_atom_site_fract_x
_atom_site_fract_y
_atom_site_fract_z
Pr1 Pr 0.000 0.060 0.250
Si1 Si 0.000 0.222 0.750
Ni1 Ni 0.000 0.329 0.060
H1 H 0.000 0.500 0.000
# * volume: 13.637 Å³/atom
# * electronic total energy: -5.671 eV/atom
# * DOS at the Fermi energy: 0.42 states/eV per atom

Entry 2:
# Pr2SiNiH | Alexandria via LeMat-Bulk | GGA-PBE | relaxed
data_Pr2SiNiH
_chemical_formula_sum 'Pr4 Si2 Ni2 H2'
_symmetry_space_group_name_H-M 'P 1 21/m 1'
_symmetry_Int_Tables_number 11
_cell_length_a 6.166
_cell_length_b 4.098
_cell_length_c 8.221
_cell_angle_alpha 90.00
_cell_angle_beta 107.56
_cell_angle_gamma 90.00
loop_
_symmetry_equiv_pos_as_xyz
'x,y,z'
'-x,-y,-z'
'-x,y+1/2,-z'
'x,-y+1/2,z'
loop_
_atom_site_label
_atom_site_type_symbol
_atom_site_fract_x
_atom_site_fract_y
_atom_site_fract_z
Pr1 Pr 0.220 0.250 0.410
Pr2 Pr 0.243 0.250 0.964
Si1 Si 0.335 0.750 0.707
Ni1 Ni 0.454 0.750 0.243
H1 H 0.177 0.750 0.171
# * volume: 19.805 Å³/atom
# * electronic total energy: -5.399 eV/atom
# * DOS at the Fermi energy: 0.72 states/eV per atom

Entry 3:
# PrSmNi2H8 | Alexandria via LeMat-Bulk | GGA-PBE | relaxed
data_PrSmNi2H8
_chemical_formula_sum 'Pr3 Sm3 Ni6 H24'
_symmetry_space_group_name_H-M 'R -3 m'
_symmetry_Int_Tables_number 166
_symmetry_space_group_name_Hall '-R 3 2"'
_cell_length_a 4.5352
_cell_length_b 4.5352
_cell_length_c 19.2515
_cell_angle_alpha 90.00
_cell_angle_beta 90.00
_cell_angle_gamma 120.00
loop_
_atom_site_label
_atom_site_type_symbol
_atom_site_fract_x
_atom_site_fract_y
_atom_site_fract_z
Pr1 Pr 0.0000 0.0000 0.0000
Sm1 Sm 0.0000 0.0000 0.5000
Ni1 Ni 0.0000 0.0000 0.2570
H1 H 0.0000 0.0000 0.3404
H2 H 0.0305 0.5152 0.5569
# * volume: 9.526 Å³/atom
# * electronic total energy: -4.306 eV/atom
# * DOS at the Fermi energy: 0.33 states/eV per atom

Entry 4:
# Pr2NiSnH | Alexandria via LeMat-Bulk | GGA-PBE | relaxed
data_Pr2NiSnH
_chemical_formula_sum 'Pr4 Ni2 Sn2 H2'
_symmetry_space_group_name_H-M 'P 1 21/m 1'
_symmetry_Int_Tables_number 11
_cell_length_a 6.432
_cell_length_b 4.216
_cell_length_c 8.586
_cell_angle_alpha 90.00
_cell_angle_beta 107.58
_cell_angle_gamma 90.00
loop_
_symmetry_equiv_pos_as_xyz
'x,y,z'
'-x,-y,-z'
'-x,y+1/2,-z'
'x,-y+1/2,z'
loop_
_atom_site_label
_atom_site_type_symbol
_atom_site_fract_x
_atom_site_fract_y
_atom_site_fract_z
Pr1 Pr 0.231 0.250 0.401
Pr2 Pr 0.244 0.250 0.973
Ni1 Ni 0.425 0.750 0.231
Sn1 Sn 0.311 0.750 0.702
H1 H 0.164 0.750 0.162
# * volume: 22.195 Å³/atom
# * electronic total energy: -5.088 eV/atom
# * DOS at the Fermi energy: 0.65 states/eV per atom

Entry 5:
# PrNi2SnH | Alexandria via LeMat-Bulk | GGA-PBE | relaxed
data_PrNi2SnH
_chemical_formula_sum 'Pr4 Ni8 Sn4 H4'
_symmetry_space_group_name_H-M 'C m c m'
_symmetry_Int_Tables_number 63
_symmetry_space_group_name_Hall '-C 2c 2'
_cell_length_a 4.205
_cell_length_b 11.134
_cell_length_c 6.834
_cell_angle_alpha 90.00
_cell_angle_beta 90.00
_cell_angle_gamma 90.00
loop_
_atom_site_label
_atom_site_type_symbol
_atom_site_fract_x
_atom_site_fract_y
_atom_site_fract_z
Pr1 Pr 0.000 0.071 0.250
Ni1 Ni 0.000 0.355 0.058
Sn1 Sn 0.000 0.214 0.750
H1 H 0.000 0.500 0.000
# * volume: 15.996 Å³/atom
# * electronic total energy: -5.176 eV/atom
# * DOS at the Fermi energy: 0.56 states/eV per atom

Entry 6:
# PrNiSnH | Alexandria via LeMat-Bulk | GGA-PBE | relaxed
data_PrNiSnH
_chemical_formula_sum 'Pr4 Ni4 Sn4 H4'
_symmetry_space_group_name_H-M 'P n m a'
_symmetry_Int_Tables_number 62
_cell_length_a 7.287
_cell_length_b 4.405
_cell_length_c 8.592
_cell_angle_alpha 90.00
_cell_angle_beta 90.00
_cell_angle_gamma 90.00
loop_
_symmetry_equiv_pos_as_xyz
'x,y,z'
'-x,-y,-z'
'-x+1/2,-y,z+1/2'
'x+1/2,y,-z+1/2'
'x+1/2,-y+1/2,-z+1/2'
'-x+1/2,y+1/2,z+1/2'
'-x,y+1/2,-z'
'x,-y+1/2,z'
loop_
_atom_site_label
_atom_site_type_symbol
_atom_site_fract_x
_atom_site_fract_y
_atom_site_fract_z
Pr1 Pr 0.013 0.250 0.188
Ni1 Ni 0.219 0.750 0.401
Sn1 Sn 0.155 0.250 0.568
H1 H 0.062 0.250 0.919
# * volume: 17.238 Å³/atom
# * offset from the most stable computed form: 0.0 meV/atom
# * DOS at the Fermi energy: 0.50 states/eV per atom

Entry 7:
# PrNiSnH | Alexandria via LeMat-Bulk | GGA-PBE | relaxed
data_PrNiSnH
_chemical_formula_sum 'Pr1 Ni1 Sn1 H1'
_symmetry_space_group_name_H-M 'P 3 m 1'
_symmetry_Int_Tables_number 156
_cell_length_a 4.3710
_cell_length_b 4.3710
_cell_length_c 4.4078
_cell_angle_alpha 90.00
_cell_angle_beta 90.00
_cell_angle_gamma 120.00
loop_
_symmetry_equiv_pos_as_xyz
'x,y,z'
'-y,x-y,z'
'-x+y,-x,z'
'-y,-x,z'
'-x+y,y,z'
'x,x-y,z'
loop_
_atom_site_label
_atom_site_type_symbol
_atom_site_fract_x
_atom_site_fract_y
_atom_site_fract_z
Pr1 Pr 0.0000 0.0000 0.0000
Ni1 Ni 0.6667 0.3333 0.5727
Sn1 Sn 0.3333 0.6667 0.4904
H1 H 0.6667 0.3333 0.9306
# * volume: 18.231 Å³/atom
# * offset from the most stable computed form: 42.2 meV/atom
# * DOS at the Fermi energy: 0.67 states/eV per atom

Entry 8:
# PrYNi2H8 | Alexandria via LeMat-Bulk | GGA-PBE | relaxed
data_PrYNi2H8
_chemical_formula_sum 'Pr3 Y3 Ni6 H24'
_symmetry_space_group_name_H-M 'R -3 m'
_symmetry_Int_Tables_number 166
_symmetry_space_group_name_Hall '-R 3 2"'
_cell_length_a 4.4798
_cell_length_b 4.4798
_cell_length_c 19.3088
_cell_angle_alpha 90.00
_cell_angle_beta 90.00
_cell_angle_gamma 120.00
loop_
_atom_site_label
_atom_site_type_symbol
_atom_site_fract_x
_atom_site_fract_y
_atom_site_fract_z
Pr1 Pr 0.0000 0.0000 0.0000
Y1 Y 0.0000 0.0000 0.5000
Ni1 Ni 0.0000 0.0000 0.2547
H1 H 0.0000 0.0000 0.3376
H2 H 0.0346 0.5173 0.5555
# * volume: 9.322 Å³/atom
# * electronic total energy: -4.441 eV/atom
# * DOS at the Fermi energy: 0.28 states/eV per atom

Entry 9:
# PrZnNi2H8 | Alexandria via LeMat-Bulk | GGA-PBE | relaxed
data_PrZnNi2H8
_chemical_formula_sum 'Pr1 Zn1 Ni2 H8'
_symmetry_space_group_name_H-M 'P -3'
_symmetry_Int_Tables_number 147
_cell_length_a 4.3511
_cell_length_b 4.3511
_cell_length_c 6.2872
_cell_angle_alpha 90.00
_cell_angle_beta 90.00
_cell_angle_gamma 120.00
loop_
_symmetry_equiv_pos_as_xyz
'x,y,z'
'-x,-y,-z'
'-y,x-y,z'
'y,-x+y,-z'
'-x+y,-x,z'
'x-y,x,-z'
loop_
_atom_site_label
_atom_site_type_symbol
_atom_site_fract_x
_atom_site_fract_y
_atom_site_fract_z
Pr1 Pr 0.0000 0.0000 0.0000
Zn1 Zn 0.0000 0.0000 0.5000
Ni1 Ni 0.3333 0.6667 0.6836
H1 H 0.0360 0.6917 0.3152
H2 H 0.3333 0.6667 0.9350
# * volume: 8.590 Å³/atom
# * electronic total energy: -3.744 eV/atom
# * DOS at the Fermi energy: 0.29 states/eV per atom

Entry 10:
# PrZnNi2H | Alexandria via LeMat-Bulk | GGA-PBE | relaxed
data_PrZnNi2H
_chemical_formula_sum 'Pr4 Zn4 Ni8 H4'
_symmetry_space_group_name_H-M 'C m c m'
_symmetry_Int_Tables_number 63
_symmetry_space_group_name_Hall '-C 2c 2'
_cell_length_a 3.893
_cell_length_b 10.409
_cell_length_c 7.014
_cell_angle_alpha 90.00
_cell_angle_beta 90.00
_cell_angle_gamma 90.00
loop_
_atom_site_label
_atom_site_type_symbol
_atom_site_fract_x
_atom_site_fract_y
_atom_site_fract_z
Pr1 Pr 0.000 0.061 0.250
Zn1 Zn 0.000 0.221 0.750
Ni1 Ni 0.000 0.341 0.059
H1 H 0.000 0.500 0.000
# * volume: 14.213 Å³/atom
# * electronic total energy: -4.530 eV/atom
# * DOS at the Fermi energy: 0.53 states/eV per atom